Hf3FeTc (PBE, optimized geometry); DFT formation energy = 101 kJ/mol of atoms; energy above the most stable polymorph in this dataset = 540 meV per atom
1.0
-2.799 3.915 0.937
-3.498 -1.801 -2.926
-1.992 -2.339 3.821
Hf Tc Fe
3 1 1
Direct
0.000 0.500 0.000
0.000 0.000 0.500
0.500 0.000 0.000
0.000 0.000 0.000
0.500 0.500 0.500


ScPaVC3 (PBE, optimized geometry); DFT formation energy = -18 kJ/mol of atoms
1.0
-0.750 1.537 3.052
-6.720 -0.996 -1.150
1.717 -6.345 3.617
Sc Pa V C
2 2 2 6
Direct
0.250 0.644 0.149
0.750 0.356 0.851
0.750 0.821 0.811
0.250 0.179 0.189
0.250 0.110 0.600
0.750 0.890 0.400
0.250 0.821 0.485
0.750 0.899 0.144
0.750 0.396 0.153
0.750 0.179 0.515
0.250 0.604 0.847
0.250 0.101 0.856


Sm2Si2Pt3 (PBE, optimized geometry); E_form (uncorrected) = -1.058 eV per atom
1.0
3.920 0.000 0.000
-1.960 5.245 -0.286
0.000 -2.763 6.563
Sm Si Pt
2 2 3
Direct
0.865 0.730 0.230
0.135 0.270 0.770
0.850 0.700 0.776
0.150 0.300 0.224
0.500 0.000 0.000
0.627 0.253 0.436
0.373 0.747 0.564


YHoMn2 (PBE, optimized geometry); DFT formation energy = 19 kJ/mol of atoms; energy above the most stable polymorph in this dataset = 0 meV per atom
1.0
4.982 0.000 0.000
2.491 4.314 0.000
2.491 1.438 4.068
Y Mn Ho
1 2 1
Direct
0.500 0.500 0.500
0.250 0.250 0.250
0.750 0.750 0.750
0.000 0.000 0.000


InHgB (PBE, optimized geometry); DFT formation energy = 45 kJ/mol of atoms
1.0
5.688 0.016 0.013
1.296 3.588 -0.034
0.149 2.012 6.370
B Hg In
2 2 2
Direct
0.280 0.403 0.824
0.982 0.546 0.844
0.266 0.226 0.188
0.713 0.409 0.332
0.715 0.173 0.858
0.230 0.032 0.616


TbPr2N3 (PBE, optimized geometry); E_form (uncorrected) = -1.384 eV per atom
1.0
3.542 0.000 -0.807
-0.183 3.538 -0.808
-0.012 -0.011 8.127
Tb Pr N
1 2 3
Direct
0.434 0.436 0.874
0.097 0.099 0.201
0.771 0.773 0.547
0.934 0.936 0.874
0.274 0.275 0.554
0.594 0.595 0.194


ZrTa2Ni (PBE, optimized geometry); DFT formation energy = 41 kJ/mol of atoms; energy above the most stable polymorph in this dataset = 490 meV per atom
1.0
-2.058 -2.773 1.645
3.224 -1.806 0.988
0.745 2.817 10.128
Ni Zr Ta
2 2 4
Direct
0.500 0.500 0.000
0.250 0.750 0.500
0.000 0.000 0.000
0.750 0.250 0.500
0.623 0.125 0.250
0.127 0.625 0.250
0.375 0.377 0.750
0.875 0.873 0.750


Rb2LiHf2Te6 (PBE, optimized geometry); E_form (uncorrected) = -0.875 eV per atom
1.0
-4.061 -1.225 5.834
4.530 -5.090 -2.367
6.267 5.329 4.054
Rb Li Hf Te
2 1 2 6
Direct
0.837 0.163 0.000
0.163 0.837 0.000
0.000 0.000 0.500
0.332 0.668 0.500
0.668 0.332 0.500
0.707 0.707 0.691
0.063 0.405 0.689
0.293 0.293 0.309
0.405 0.063 0.689
0.937 0.595 0.311
0.595 0.937 0.311


Sb2OsW (PBE, optimized geometry); E_form (uncorrected) = 0.685 eV per atom; energy above the most stable polymorph in this dataset = 447 meV per atom
1.0
-4.061 6.557 4.122
-3.612 4.564 6.527
-1.306 6.537 5.661
Os Sb W
1 2 1
Direct
0.750 0.750 0.750
0.003 0.003 0.003
0.497 0.497 0.497
0.250 0.250 0.250


Pm7Y2Ho (PBE, optimized geometry); DFT formation energy = 63 kJ/mol of atoms; energy above the most stable polymorph in this dataset = 254 meV per atom
1.0
-1.335 1.710 -4.943
-9.390 0.267 2.629
6.542 7.199 0.723
Pm Y Ho
7 2 1
Direct
0.000 0.802 0.198
0.000 0.198 0.802
0.500 0.072 0.288
0.500 0.928 0.712
0.500 0.288 0.072
0.500 0.712 0.928
0.500 0.500 0.500
0.500 0.707 0.293
0.500 0.293 0.707
0.000 0.000 0.000


LiSc2B (PBE, optimized geometry); DFT formation energy = 93 kJ/mol of atoms
1.0
3.115 -4.830 8.313
4.896 -2.242 8.552
1.948 -2.233 9.662
Sc B Li
2 1 1
Direct
0.921 0.921 0.921
0.079 0.079 0.079
0.000 0.000 0.000
0.500 0.500 0.500


La2PmGa3Pd4 (PBE, optimized geometry); DFT formation energy = -76 kJ/mol of atoms
1.0
-1.394 3.446 2.318
-0.619 -2.590 3.478
10.623 2.015 3.391
La Pm Ga Pd
2 1 3 4
Direct
0.500 0.000 0.226
0.000 0.500 0.774
0.500 0.500 0.500
0.000 0.000 0.500
0.500 0.000 0.883
0.000 0.500 0.117
0.500 0.500 0.000
0.000 0.000 0.000
0.500 0.000 0.661
0.000 0.500 0.339


Per-record mass density, g/cm3: 9.712, 6.778, 11.868, 6.908, 8.316, 7.877, 11.405, 5.396, 13.903, 5.516, 2.092, 8.077